# BeNb2As

A relaxed BeNb2As crystal (GGA-PBE, the Alexandria database).

crystal system: monoclinic
total DFT energy (no corrections): -7.61 eV per atom
relative energy among the computed polymorphs: 0.0 meV/atom

```
data_BeNb2As
_chemical_formula_sum 'Be2 Nb4 As2'
_symmetry_space_group_name_H-M 'P 1 21/m 1'
_symmetry_Int_Tables_number 11
_cell_length_a 5.035
_cell_length_b 3.545
_cell_length_c 7.120
_cell_angle_alpha 90.00
_cell_angle_beta 110.54
_cell_angle_gamma 90.00
loop_
_symmetry_equiv_pos_as_xyz
'x,y,z'
'-x,-y,-z'
'-x,y+1/2,-z'
'x,-y+1/2,z'
loop_
_atom_site_label
_atom_site_type_symbol
_atom_site_fract_x
_atom_site_fract_y
_atom_site_fract_z
Be1 Be 0.131 0.250 0.288
Nb1 Nb 0.207 0.250 0.918
Nb2 Nb 0.260 0.750 0.564
As1 As 0.362 0.750 0.216
```